Record 1
! La5Pr2Sm3, optimized geometry, DFT PBE; values from VASP
! - SG: Ibam
! - Excess energy over the best structure of this formula in the dataset: 202 meV per atom
! - ΔE_f: 0.350 eV per atom
! - Crystal system: orthorhombic
! - Total magnetic moment: 0.00 μB/f.u.
&SYSTEM
  ibrav = 0, nat = 20, ntyp = 3
/
ATOMIC_SPECIES
La 138.91 La.upf
Pr 140.91 Pr.upf
Sm 150.36 Sm.upf
CELL_PARAMETERS angstrom
-4.0759 5.2005 5.5239
-10.6348 -1.6525 0.4225
-5.0628 -5.2530 7.9235
ATOMIC_POSITIONS crystal
La 0.2500 0.5000 0.5000
La 0.7500 0.5000 0.5000
La 0.5054 0.7446 0.7446
La 0.9946 0.2554 0.2554
La 0.4946 0.2554 0.2554
La 0.0054 0.7446 0.7446
La 0.1308 0.4627 0.2757
La 0.8692 0.5373 0.7243
La 0.6308 0.2757 0.4627
La 0.3692 0.7243 0.5373
Pr 0.1228 0.7634 0.9910
Pr 0.8772 0.2366 0.0090
Pr 0.6228 0.9910 0.7634
Pr 0.3772 0.0090 0.2366
Sm 0.2500 0.0000 0.0000
Sm 0.7500 0.0000 0.0000
Sm 0.3787 0.3637 0.8789
Sm 0.6213 0.6363 0.1211
Sm 0.8787 0.8789 0.3637
Sm 0.1213 0.1211 0.6363

---

Record 2
! KZnGe, optimized geometry, DFT PBE; values from VASP
! - SG: P-1
! - Excess energy over the best structure of this formula in the dataset: 0 meV per atom
! - ΔE_f: -0.054 eV per atom
! - Crystal system: triclinic
! - Total magnetic moment: 0.00 μB/f.u.
&SYSTEM
  ibrav = 0, nat = 6, ntyp = 3
/
ATOMIC_SPECIES
K 39.10 K.upf
Zn 65.41 Zn.upf
Ge 72.64 Ge.upf
CELL_PARAMETERS angstrom
-4.4528 0.0814 0.8330
-1.2693 -7.3648 1.7146
-2.4249 -2.7529 6.4691
ATOMIC_POSITIONS crystal
K 0.8250 0.6619 0.2980
K 0.7941 0.9967 0.5606
Zn 0.0510 0.2489 0.8025
Zn 0.5683 0.4095 0.0554
Ge 0.1718 0.5258 0.8746
Ge 0.4469 0.1329 0.9837

---

Record 3
! OsAuBr2, optimized geometry, DFT PBE; values from VASP
! - SG: P4/mmm
! - Excess energy over the best structure of this formula in the dataset: 890 meV per atom
! - Crystal system: tetragonal
! - Formation energy from raw total energies: 5.274 eV/f.u.
! - Total magnetic moment: 0.00 μB/f.u.
&SYSTEM
  ibrav = 0, nat = 4, ntyp = 3
/
ATOMIC_SPECIES
Os 190.23 Os.upf
Au 196.97 Au.upf
Br 79.90 Br.upf
CELL_PARAMETERS angstrom
-1.1319 -2.8785 0.7905
4.5541 -1.5222 0.9782
-0.5051 1.4744 4.6459
ATOMIC_POSITIONS crystal
Os 0.5000 0.5000 0.0000
Au 0.5000 0.0000 0.5000
Br 0.0000 0.0000 0.0000
Br 0.0000 0.5000 0.5000

---

no.,calculated density (Mg/m³)
1,6.46
2,3.28
3,11.85